Entry 1:
{
  "formula": "YB3H12",
  "functional": "PBE-GGA",
  "state": "optimized geometry",
  "cell": [[-2.267, -3.909, 9.808], [10.531, -0.115, 2.388], [-0.760, 10.066, 3.836]],
  "species": ["Y", "B", "H", "H", "H", "B", "H", "B", "H", "H", "H", "H", "H", "H", "H", "H", "Y", "H", "H", "H", "H", "H", "H", "B", "B", "B", "B", "B", "H", "H", "H", "Y", "H", "H", "H", "H", "H", "B", "H", "H", "H", "H", "Y", "H", "H", "H", "H", "B", "H", "H", "B", "H", "H", "H", "H", "H", "Y", "H", "B", "H", "H", "B", "H", "H", "H", "B", "B", "H", "H", "H", "H", "H", "H", "B", "H", "H", "H", "H", "H", "B", "H", "H", "H", "Y", "Y", "B", "H", "B", "B", "H", "H", "H", "H", "H", "H", "H", "H", "H", "H", "H", "H", "H", "H", "H", "H", "H", "H", "B", "H", "H", "H", "H", "H", "H", "H", "H", "H", "H", "H", "H", "H", "B", "B", "H", "H", "H", "Y", "B"],
  "fractional_positions": [[0.216, 0.284, 0.716], [0.190, 0.246, 0.966], [0.600, 0.226, 0.466], [0.979, 0.711, 0.751], [0.152, 0.419, 0.173], [0.754, 0.466, 0.310], [0.534, 0.100, 0.274], [0.466, 0.190, 0.254], [0.081, 0.673, 0.152], [0.979, 0.789, 0.251], [0.251, 0.521, 0.289], [0.805, 0.661, 0.609], [0.249, 0.021, 0.289], [0.805, 0.839, 0.109], [0.919, 0.173, 0.348], [0.348, 0.581, 0.673], [0.716, 0.216, 0.284], [0.400, 0.774, 0.534], [0.109, 0.805, 0.839], [0.466, 0.900, 0.726], [0.419, 0.173, 0.152], [0.711, 0.751, 0.979], [0.348, 0.919, 0.173], [0.310, 0.746, 0.966], [0.534, 0.810, 0.746], [0.966, 0.310, 0.746], [0.690, 0.246, 0.534], [0.966, 0.190, 0.246], [0.749, 0.021, 0.211], [0.226, 0.466, 0.600], [0.726, 0.466, 0.900], [0.716, 0.284, 0.784], [0.161, 0.609, 0.695], [0.751, 0.979, 0.711], [0.673, 0.152, 0.081], [0.891, 0.195, 0.161], [0.391, 0.305, 0.839], [0.810, 0.746, 0.534], [0.021, 0.289, 0.249], [0.900, 0.726, 0.466], [0.034, 0.100, 0.226], [0.848, 0.919, 0.327], [0.216, 0.216, 0.216], [0.173, 0.152, 0.419], [0.919, 0.327, 0.848], [0.774, 0.534, 0.400], [0.479, 0.789, 0.249], [0.754, 0.034, 0.810], [0.034, 0.400, 0.726], [0.211, 0.751, 0.521], [0.810, 0.754, 0.034], [0.966, 0.600, 0.274], [0.966, 0.900, 0.774], [0.305, 0.839, 0.391], [0.274, 0.534, 0.100], [0.581, 0.673, 0.348], [0.784, 0.784, 0.784], [0.751, 0.521, 0.211], [0.534, 0.690, 0.246], [0.652, 0.419, 0.327], [0.521, 0.289, 0.251], [0.246, 0.534, 0.690], [0.100, 0.226, 0.034], [0.305, 0.661, 0.891], [0.152, 0.081, 0.673], [0.690, 0.254, 0.034], [0.746, 0.534, 0.810], [0.391, 0.195, 0.339], [0.289, 0.249, 0.021], [0.695, 0.161, 0.609], [0.226, 0.034, 0.100], [0.400, 0.726, 0.034], [0.161, 0.891, 0.195], [0.190, 0.254, 0.466], [0.661, 0.609, 0.805], [0.109, 0.695, 0.339], [0.839, 0.391, 0.305], [0.021, 0.211, 0.749], [0.695, 0.339, 0.109], [0.254, 0.034, 0.690], [0.081, 0.827, 0.652], [0.466, 0.600, 0.226], [0.419, 0.327, 0.652], [0.284, 0.716, 0.216], [0.284, 0.784, 0.716], [0.254, 0.466, 0.190], [0.839, 0.109, 0.805], [0.246, 0.966, 0.190], [0.746, 0.966, 0.310], [0.249, 0.479, 0.789], [0.749, 0.479, 0.711], [0.211, 0.749, 0.021], [0.827, 0.652, 0.081], [0.600, 0.274, 0.966], [0.789, 0.251, 0.979], [0.652, 0.081, 0.827], [0.100, 0.274, 0.534], [0.609, 0.695, 0.161], [0.339, 0.109, 0.695], [0.339, 0.391, 0.195], [0.327, 0.652, 0.419], [0.251, 0.979, 0.789], [0.581, 0.827, 0.848], [0.848, 0.581, 0.827], [0.479, 0.711, 0.749], [0.789, 0.249, 0.479], [0.774, 0.966, 0.900], [0.034, 0.810, 0.754], [0.900, 0.774, 0.966], [0.327, 0.848, 0.919], [0.195, 0.161, 0.891], [0.726, 0.034, 0.400], [0.711, 0.749, 0.479], [0.673, 0.348, 0.581], [0.534, 0.400, 0.774], [0.274, 0.966, 0.600], [0.609, 0.805, 0.661], [0.521, 0.211, 0.751], [0.173, 0.348, 0.919], [0.827, 0.848, 0.581], [0.289, 0.251, 0.521], [0.034, 0.690, 0.254], [0.310, 0.754, 0.466], [0.661, 0.891, 0.305], [0.891, 0.305, 0.661], [0.195, 0.339, 0.391], [0.784, 0.716, 0.284], [0.466, 0.310, 0.754]],
  "total_energy_ev_per_cell": -574.3,
  "de_polymorph_mev_per_atom": 3,
  "density_g_cm3": 1.408
}

***

Entry 2:
{
  "formula": "Y2BH",
  "functional": "PBE-GGA",
  "state": "optimized geometry",
  "cell": [[0.592, 2.200, 3.885], [0.876, 4.418, -0.024], [-3.115, 2.921, 1.431]],
  "species": ["H", "Y", "Y", "B"],
  "fractional_positions": [[0.000, 0.000, 0.000], [0.250, 0.250, 0.250], [0.750, 0.750, 0.750], [0.500, 0.500, 0.500]],
  "total_energy_ev_per_cell": -23.1,
  "de_polymorph_mev_per_atom": 0,
  "density_g_cm3": 4.874
}

***

Entry 3:
{
  "formula": "YBH2",
  "functional": "PBE-GGA",
  "state": "optimized geometry",
  "cell": [[-2.132, -2.640, 1.592], [-3.369, 0.892, 1.380], [-3.107, -1.192, -1.725]],
  "species": ["H", "B", "H", "Y"],
  "fractional_positions": [[0.750, 0.750, 0.750], [0.000, 0.000, 0.000], [0.250, 0.250, 0.250], [0.500, 0.500, 0.500]],
  "total_energy_ev_per_cell": -19.4,
  "de_polymorph_mev_per_atom": 0,
  "density_g_cm3": 4.536
}

***

- Which formula does entry 2 have?
  Y2BH

***

- What is the formula in the third record?
  YBH2